[1]
Density functional theory data (PBE) for a relaxed structure of Mn2AlRh.

Computed properties:
* raw total energy: -7.57 eV per atom

CIF file:
```
data_Mn2AlRh
_cell_length_a 4.790
_cell_length_b 4.790
_cell_length_c 4.380
_cell_angle_alpha 71.24
_cell_angle_beta 71.24
_cell_angle_gamma 35.80
_symmetry_space_group_name_H-M 'P 1'
_symmetry_Int_Tables_number 1
loop_
_symmetry_equiv_pos_as_xyz
'x,y,z'
loop_
_atom_site_label
_atom_site_fract_x
_atom_site_fract_y
_atom_site_fract_z
Mn1 0.000 0.000 0.983
Mn2 0.754 0.754 0.766
Rh1 0.501 0.501 0.480
Al1 0.244 0.244 0.270
```


[2]
Density functional theory data (PBE) for a relaxed structure of YScTl2.

Computed properties:
* raw total energy: -4.62 eV per atom

CIF file:
```
data_YScTl2
_cell_length_a 5.167
_cell_length_b 5.167
_cell_length_c 6.285
_cell_angle_alpha 77.34
_cell_angle_beta 77.34
_cell_angle_gamma 41.87
_symmetry_space_group_name_H-M 'P 1'
_symmetry_Int_Tables_number 1
loop_
_symmetry_equiv_pos_as_xyz
'x,y,z'
loop_
_atom_site_label
_atom_site_fract_x
_atom_site_fract_y
_atom_site_fract_z
Y1 0.750 0.750 0.750
Sc1 0.250 0.250 0.250
Tl1 0.995 0.995 0.024
Tl2 0.505 0.505 0.476
```


[3]
Density functional theory data (PBE) for a relaxed structure of LaAg3Sn2.

Computed properties:
* energy relative to the lowest polymorph listed for this composition: 0.00 kJ per mole of atoms

CIF file:
```
data_LaAg3Sn2
_cell_length_a 4.706
_cell_length_b 9.558
_cell_length_c 7.304
_cell_angle_alpha 116.89
_cell_angle_beta 90.00
_cell_angle_gamma 104.25
_symmetry_space_group_name_H-M 'P 1'
_symmetry_Int_Tables_number 1
loop_
_symmetry_equiv_pos_as_xyz
'x,y,z'
loop_
_atom_site_label
_atom_site_fract_x
_atom_site_fract_y
_atom_site_fract_z
La1 0.877 0.753 0.927
La2 0.123 0.247 0.073
Ag1 0.307 0.614 0.524
Ag2 0.931 0.862 0.539
Ag3 0.636 0.272 0.773
Ag4 0.364 0.728 0.227
Ag5 0.069 0.138 0.461
Ag6 0.693 0.386 0.476
Sn1 0.484 0.967 0.777
Sn2 0.516 0.033 0.223
Sn3 0.769 0.537 0.223
Sn4 0.231 0.463 0.777
```


[4]
Density functional theory data (PBE) for a relaxed structure of PmBiPd2.

Computed properties:
* energy relative to the lowest polymorph listed for this composition: 9.94 kJ per mole of atoms

CIF file:
```
data_PmBiPd2
_cell_length_a 3.959
_cell_length_b 4.719
_cell_length_c 4.719
_cell_angle_alpha 90.00
_cell_angle_beta 90.00
_cell_angle_gamma 90.00
_symmetry_space_group_name_H-M 'P 1'
_symmetry_Int_Tables_number 1
loop_
_symmetry_equiv_pos_as_xyz
'x,y,z'
loop_
_atom_site_label
_atom_site_fract_x
_atom_site_fract_y
_atom_site_fract_z
Bi1 0.500 0.000 0.000
Pd1 0.000 0.000 0.500
Pd2 0.000 0.500 0.000
Pm1 0.500 0.500 0.500
```


[5]
Density functional theory data (PBE) for a relaxed structure of LaFeN.

Computed properties:
* formation energy from raw total energies: -748 meV per atom

CIF file:
```
data_LaFeN
_cell_length_a 3.745
_cell_length_b 3.745
_cell_length_c 3.606
_cell_angle_alpha 90.00
_cell_angle_beta 90.00
_cell_angle_gamma 90.00
_symmetry_space_group_name_H-M 'P 1'
_symmetry_Int_Tables_number 1
loop_
_symmetry_equiv_pos_as_xyz
'x,y,z'
loop_
_atom_site_label
_atom_site_fract_x
_atom_site_fract_y
_atom_site_fract_z
La1 0.000 0.000 0.000
Fe1 0.500 0.500 0.500
N1 0.500 0.500 0.000
```


[6]
Density functional theory data (PBE) for a relaxed structure of LiHg2Pb6.

Computed properties:
* energy relative to the lowest polymorph listed for this composition: 2.74 kJ per mole of atoms

CIF file:
```
data_LiHg2Pb6
_cell_length_a 3.567
_cell_length_b 3.567
_cell_length_c 23.610
_cell_angle_alpha 90.00
_cell_angle_beta 90.00
_cell_angle_gamma 120.00
_symmetry_space_group_name_H-M 'P 1'
_symmetry_Int_Tables_number 1
loop_
_symmetry_equiv_pos_as_xyz
'x,y,z'
loop_
_atom_site_label
_atom_site_fract_x
_atom_site_fract_y
_atom_site_fract_z
Li1 0.333 0.667 0.000
Hg1 0.667 0.333 0.324
Hg2 0.667 0.333 0.676
Pb1 0.667 0.333 0.905
Pb2 0.333 0.667 0.432
Pb3 0.333 0.667 0.787
Pb4 0.333 0.667 0.213
Pb5 0.333 0.667 0.568
Pb6 0.667 0.333 0.095
```


[7]
Density functional theory data (PBE) for a relaxed structure of LiSiI2O.

Computed properties:
* energy relative to the lowest polymorph listed for this composition: 0.00 kJ per mole of atoms
* formation energy from raw total energies: -726 meV per atom

CIF file:
```
data_LiSiI2O
_cell_length_a 5.716
_cell_length_b 5.716
_cell_length_c 3.586
_cell_angle_alpha 90.00
_cell_angle_beta 90.00
_cell_angle_gamma 90.00
_symmetry_space_group_name_H-M 'P 1'
_symmetry_Int_Tables_number 1
loop_
_symmetry_equiv_pos_as_xyz
'x,y,z'
loop_
_atom_site_label
_atom_site_fract_x
_atom_site_fract_y
_atom_site_fract_z
I1 0.000 0.500 0.000
I2 0.500 0.000 0.000
Si1 0.000 0.000 0.000
O1 0.000 0.000 0.500
Li1 0.500 0.500 0.500
```


[8]
Density functional theory data (PBE) for a relaxed structure of MoW2S5.

Computed properties:
* formation energy from raw total energies: -106 meV per atom

CIF file:
```
data_MoW2S5
_cell_length_a 5.889
_cell_length_b 6.643
_cell_length_c 6.294
_cell_angle_alpha 58.15
_cell_angle_beta 70.93
_cell_angle_gamma 90.00
_symmetry_space_group_name_H-M 'P 1'
_symmetry_Int_Tables_number 1
loop_
_symmetry_equiv_pos_as_xyz
'x,y,z'
loop_
_atom_site_label
_atom_site_fract_x
_atom_site_fract_y
_atom_site_fract_z
Mo1 0.004 0.994 0.013
W1 0.527 0.990 0.019
W2 0.940 0.396 0.207
S1 0.664 0.629 0.309
S2 0.664 0.062 0.309
S3 0.267 0.725 0.026
S4 0.267 0.249 0.026
S5 0.890 0.178 0.645
```


Number 1: spin magnetization 6.630 μB/cell, density of states at the Fermi level 0.82 states/eV per atom. Number 2: spin magnetization 0.000 μB/cell, density of states at the Fermi level 0.90 states/eV per atom. Number 3: spin magnetization 0.000 μB/cell, density of states at the Fermi level 0.44 states/eV per atom. Number 4: spin magnetization 0.000 μB/cell, density of states at the Fermi level 0.68 states/eV per atom. Number 5: spin magnetization 0.934 μB/cell, density of states at the Fermi level 0.94 states/eV per atom. Number 6: spin magnetization 0.000 μB/cell, density of states at the Fermi level 0.27 states/eV per atom. Number 7: spin magnetization 0.000 μB/cell, density of states at the Fermi level 0.18 states/eV per atom. Number 8: spin magnetization 0.000 μB/cell, density of states at the Fermi level 0.63 states/eV per atom.